Computed, not measured: LiFeGeMo after structural relaxation at the PBE level of DFT.

Unit cell a=4.123 b=4.123 c=4.123 alpha=60.00 beta=60.00 gamma=60.00
Element x y z (fractional)
Fe 0.750 0.750 0.750
Ge 0.000 0.000 0.000
Li 0.250 0.250 0.250
Mo 0.500 0.500 0.500

Output
Final energy: -6.48 eV/atom
Size of the total moment: 0.14 μB per formula unit
Energy above the lowest structure with this stoichiometry: 0.000 eV/atom